# 1
Computed, not measured: a relaxed YIn2Ag3 crystal at the PBE level of DFT.

Cell: 4.6435 6.7211 9.0012 Å, 103.73 104.95 90.00°
Atoms (fractional coordinates):
In  0.5171  0.7986  0.0342
In  0.2330  0.6592  0.4661
In  0.7670  0.3408  0.5339
In  0.4829  0.2014  0.9658
Ag  0.9285  0.3400  0.8571
Ag  0.3051  0.0799  0.6103
Ag  0.6294  0.4891  0.2587
Ag  0.0715  0.6600  0.1429
Ag  0.3706  0.5109  0.7413
Ag  0.6949  0.9201  0.3897
Y  0.1162  0.1556  0.2324
Y  0.8838  0.8444  0.7676

Values from the calculation:
Crystal system: monoclinic
SG: C2/m, No. 12

# 2
Computed, not measured: a relaxed Y8InAg2 crystal at the PBE level of DFT.

Cell: 5.4450 8.3950 8.3950 Å, 116.66 99.73 99.73°
Atoms (fractional coordinates):
Y  0.5000  0.2295  0.7705
Y  0.3046  0.6051  0.6051
Y  0.0995  0.3251  0.0899
Y  0.5000  0.7705  0.2295
Y  0.9005  0.9101  0.6749
Y  0.6954  0.3949  0.3949
Y  0.0995  0.0899  0.3251
Y  0.9005  0.6749  0.9101
In  0.5000  0.0000  0.0000
Ag  0.0000  0.6948  0.3052
Ag  0.0000  0.3052  0.6948

Values from the calculation:
Crystal system: monoclinic
SG: C2/m, No. 12

| no. | E_form (eV/atom) |
| --- | --- |
| 1 | -0.227 |
| 2 | -0.087 |